First-principles (GGA+U) data for a geometry-optimized Li2Ni3BiO8 structure, as listed in Alexandria.

Geometry as POSCAR:
```
Li2Ni3BiO8
1.0
2.9613 1.7097 5.1299
-2.9613 1.7097 5.1299
0.0000 -3.4195 5.1299
Li Ni Bi O
2 3 1 8
Cartesian
0.0000 0.0000 1.8801 Li
0.0000 0.0000 13.5097 Li
-1.4807 -0.8549 5.1299 Ni
-1.4807 0.8549 10.2598 Ni
0.0000 1.7097 5.1299 Ni
0.0000 0.0000 7.6949 Bi
0.0000 -1.6175 6.3001 O
-1.4008 0.8087 6.3001 O
0.0000 0.0000 4.1857 O
-1.4008 -0.8088 9.0896 O
1.4008 0.8087 6.3001 O
0.0000 0.0000 11.2041 O
1.4008 -0.8087 9.0896 O
0.0000 1.6175 9.0896 O
```

## Properties
space-group type: No. 166
energy relative to the lowest polymorph listed for this composition: 13.0 meV/atom
total DFT energy (no corrections): -69.82 eV per cell